BaZn3Bi4O12: optimized geometry, PBE.

Values from the calculation:
formation energy from raw total energies: -1252 meV/atom
magnetization: 0.00 μB/cell
density of states at the Fermi level: 7.9 states/eV per cell
total DFT energy (no corrections): -5.2904 eV/atom

Cell: 7.210 7.210 7.210 Å, 109.47 109.47 109.47°
Positions (direct):
Ba  0.000  0.000  0.000
Zn  0.000  0.500  0.500
Zn  0.500  0.000  0.500
Zn  0.500  0.500  0.000
Bi  0.000  0.000  0.500
Bi  0.000  0.500  0.000
Bi  0.500  0.000  0.000
Bi  0.500  0.500  0.500
O  0.151  0.834  0.317
O  0.166  0.317  0.482
O  0.166  0.683  0.849
O  0.317  0.151  0.834
O  0.317  0.482  0.166
O  0.482  0.166  0.317
O  0.518  0.834  0.683
O  0.683  0.518  0.834
O  0.683  0.849  0.166
O  0.834  0.317  0.151
O  0.834  0.683  0.518
O  0.849  0.166  0.683

=====

CsTbFe2I8: optimized geometry, PBE.

Values from the calculation:
formation energy from raw total energies: -735 meV/atom
magnetization: 8.00 μB/cell
density of states at the Fermi level: 12.7 states/eV per cell
total DFT energy (no corrections): -3.6357 eV/atom

Cell: 7.450 7.450 11.155 Å, 95.96 95.96 68.65°
Positions (direct):
Cs  0.000  0.000  0.000
Tb  0.000  0.000  0.500
Fe  0.383  0.383  0.708
Fe  0.617  0.617  0.292
I  0.233  0.728  0.299
I  0.248  0.248  0.506
I  0.272  0.767  0.701
I  0.312  0.312  0.913
I  0.688  0.688  0.087
I  0.728  0.233  0.299
I  0.752  0.752  0.494
I  0.767  0.272  0.701

=====

NaCaSeI: optimized geometry, PBE.

Values from the calculation:
formation energy from raw total energies: -1539 meV/atom
magnetization: 0.00 μB/cell
density of states at the Fermi level: 0.0 states/eV per cell
total DFT energy (no corrections): -3.6282 eV/atom

Cell: 4.344 4.344 8.091 Å, 105.52 105.52 60.01°
Positions (direct):
Na  0.000  0.000  0.000
Ca  0.201  0.201  0.602
Se  0.596  0.596  0.789
I  0.776  0.776  0.326